# 1
The following is a GGA-PBE calculation of a geometry-optimized Sm3TmCo structure, from the Alexandria database.

Volume (A^3/atom): 28.41
ρ (g cm⁻³): 7.94
Energy relative to the lowest polymorph listed for this composition (meV/atom): 0
ΔH_f (0 K) (eV/atom): 0.037
Space group: C2/m (12)

Cell lengths 6.8508, 6.8508, 6.5183 Å; angles 104.75, 104.75, 92.62 degrees
Closest atoms and distances in Å follow each position.
Atoms (fractional coordinates):
1 Sm 0.0653 0.5652 0.2641  2 Co 2.93-2.97, 1 Sm 3.20
2 Sm 0.0696 0.0696 0.2738  2 Co 2.90-2.94
3 Sm 0.4348 0.9347 0.7359  2 Co 2.93-2.97, 1 Sm 3.20
4 Sm 0.5652 0.0653 0.2641  2 Co 2.93-2.97, 1 Sm 3.20
5 Sm 0.9304 0.9304 0.7262  2 Co 2.90-2.94
6 Sm 0.9347 0.4348 0.7359  2 Co 2.93-2.97, 1 Sm 3.20
7 Tm 0.4356 0.4356 0.7356  2 Co 2.82-2.83
8 Tm 0.5644 0.5644 0.2644  2 Co 2.82-2.83
9 Co 0.2527 0.2527 0.9950  2 Tm 2.82-2.83, 6 Sm 2.90-2.97
10 Co 0.7473 0.7473 0.0050  2 Tm 2.82-2.83, 6 Sm 2.90-2.97

=====

# 2
The following is a GGA-PBE calculation of a geometry-optimized Sm3TmCo structure, from the Alexandria database.

Volume (A^3/atom): 30.82
ρ (g cm⁻³): 7.32
Energy relative to the lowest polymorph listed for this composition (meV/atom): 50
ΔH_f (0 K) (eV/atom): 0.087
Space group: Pm-3m (221)

Cell lengths 5.3615, 5.3615, 5.3615 Å; angles 90.00, 90.00, 90.00 degrees
Closest atoms and distances in Å follow each position.
Atoms (fractional coordinates):
1 Sm 0.0000 0.0000 0.5000  2 Co 2.68
2 Sm 0.0000 0.5000 0.0000  2 Co 2.68
3 Sm 0.5000 0.0000 0.0000  2 Co 2.68
4 Tm 0.5000 0.5000 0.5000  12 Sm 3.79
5 Co 0.0000 0.0000 0.0000  6 Sm 2.68

=====

# 3
The following is a GGA-PBE calculation of a geometry-optimized Sm2TmCo structure, from the Alexandria database.

Volume (A^3/atom): 26.32
ρ (g cm⁻³): 8.34
Energy relative to the lowest polymorph listed for this composition (meV/atom): 0
ΔH_f (0 K) (eV/atom): -0.123
Space group: Pnma (62)

Cell lengths 7.0030, 9.6998, 6.1997 Å; angles 90.00, 90.00, 90.00 degrees
Closest atoms and distances in Å follow each position.
Atoms (fractional coordinates):
1 Sm 0.1769 0.0693 0.1761  2 Co 2.81-2.85
2 Sm 0.1769 0.4307 0.1761  2 Co 2.81-2.85
3 Sm 0.3231 0.5693 0.6761  2 Co 2.81-2.85
4 Sm 0.3231 0.9307 0.6761  2 Co 2.81-2.85
5 Sm 0.6769 0.0693 0.3239  2 Co 2.81-2.85
6 Sm 0.6769 0.4307 0.3239  2 Co 2.81-2.85
7 Sm 0.8231 0.5693 0.8239  2 Co 2.81-2.85
8 Sm 0.8231 0.9307 0.8239  2 Co 2.81-2.85
9 Tm 0.0435 0.2500 0.6523  2 Co 2.68-2.69
10 Tm 0.4565 0.7500 0.1523  2 Co 2.68-2.69
11 Tm 0.5435 0.2500 0.8477  2 Co 2.68-2.69
12 Tm 0.9565 0.7500 0.3477  2 Co 2.68-2.69
13 Co 0.1161 0.7500 0.9530  2 Tm 2.68-2.69, 4 Sm 2.81-2.85
14 Co 0.3839 0.2500 0.4530  2 Tm 2.68-2.69, 4 Sm 2.81-2.85
15 Co 0.6161 0.7500 0.5470  2 Tm 2.68-2.69, 4 Sm 2.81-2.85
16 Co 0.8839 0.2500 0.0470  2 Tm 2.68-2.69, 4 Sm 2.81-2.85

=====

# 4
The following is a GGA-PBE calculation of a geometry-optimized SmTmZnCo structure, from the Alexandria database.

Volume (A^3/atom): 20.70
ρ (g cm⁻³): 8.90
ΔH_f (0 K) (eV/atom): -0.205
Space group: F-43m (216)

Cell lengths 6.9183, 6.9183, 6.9183 Å; angles 90.00, 90.00, 90.00 degrees
Closest atoms and distances in Å follow each position.
Atoms (fractional coordinates):
1 Sm 0.0000 0.0000 0.0000  4 Zn 3.00, 4 Co 3.00
2 Sm 0.0000 0.5000 0.5000  4 Co 3.00, 4 Zn 3.00
3 Sm 0.5000 0.0000 0.5000  4 Co 3.00, 4 Zn 3.00
4 Sm 0.5000 0.5000 0.0000  4 Co 3.00, 4 Zn 3.00
5 Tm 0.0000 0.0000 0.5000  4 Co 3.00, 4 Zn 3.00
6 Tm 0.0000 0.5000 0.0000  4 Co 3.00, 4 Zn 3.00
7 Tm 0.5000 0.0000 0.0000  4 Co 3.00, 4 Zn 3.00
8 Tm 0.5000 0.5000 0.5000  4 Co 3.00, 4 Zn 3.00
9 Zn 0.2500 0.2500 0.2500  4 Tm 3.00, 4 Sm 3.00
10 Zn 0.2500 0.7500 0.7500  4 Tm 3.00, 4 Sm 3.00
11 Zn 0.7500 0.2500 0.7500  4 Tm 3.00, 4 Sm 3.00
12 Zn 0.7500 0.7500 0.2500  4 Tm 3.00, 4 Sm 3.00
13 Co 0.2500 0.2500 0.7500  4 Tm 3.00, 4 Sm 3.00
14 Co 0.2500 0.7500 0.2500  4 Tm 3.00, 4 Sm 3.00
15 Co 0.7500 0.2500 0.2500  4 Tm 3.00, 4 Sm 3.00
16 Co 0.7500 0.7500 0.7500  4 Tm 3.00, 4 Sm 3.00

=====

# 5
The following is a GGA-PBE calculation of a geometry-optimized SmU2Co9 structure, from the Alexandria database.

Volume (A^3/atom): 13.91
ρ (g cm⁻³): 11.51
ΔH_f (0 K) (eV/atom): -0.149
Space group: R-3m (166)

Cell lengths 8.6190, 8.6190, 8.6190 Å; angles 32.77, 32.77, 32.77 degrees
Closest atoms and distances in Å follow each position.
Atoms (fractional coordinates):
1 Sm 0.0000 0.0000 0.0000  6 Co 2.81
2 U 0.1405 0.1405 0.1405  12 Co 2.81-3.03, 3 U 3.09
3 U 0.8595 0.8595 0.8595  12 Co 2.81-3.03, 3 U 3.09
4 Co 0.0839 0.5824 0.5824  7 Co 2.42-2.48
5 Co 0.3328 0.3328 0.3328  6 Co 2.46-2.47
6 Co 0.4176 0.4176 0.9161  7 Co 2.42-2.48
7 Co 0.4176 0.9161 0.4176  7 Co 2.42-2.48
8 Co 0.5000 0.5000 0.5000  6 Co 2.48
9 Co 0.5824 0.0839 0.5824  7 Co 2.42-2.48
10 Co 0.5824 0.5824 0.0839  7 Co 2.42-2.48
11 Co 0.6672 0.6672 0.6672  6 Co 2.46-2.47
12 Co 0.9161 0.4176 0.4176  7 Co 2.42-2.48

=====

# 6
The following is a GGA-PBE calculation of a geometry-optimized SmUCo structure, from the Alexandria database.

Volume (A^3/atom): 21.02
ρ (g cm⁻³): 11.78
ΔH_f (0 K) (eV/atom): 0.116
Space group: Pnma (62)

Cell lengths 5.4759, 4.9458, 9.3118 Å; angles 90.00, 90.00, 90.00 degrees
Closest atoms and distances in Å follow each position.
Atoms (fractional coordinates):
1 Sm 0.1197 0.2500 0.1145  4 Co 2.84-3.10, 2 U 3.07
2 Sm 0.3803 0.7500 0.6145  4 Co 2.84-3.10, 2 U 3.07
3 Sm 0.6197 0.2500 0.3855  4 Co 2.84-3.10, 2 U 3.07
4 Sm 0.8803 0.7500 0.8855  4 Co 2.84-3.10, 2 U 3.07
5 U 0.0755 0.7500 0.3076  1 Co 2.26
6 U 0.4245 0.2500 0.8076  1 Co 2.26
7 U 0.5755 0.7500 0.1924  1 Co 2.26
8 U 0.9245 0.2500 0.6924  1 Co 2.26
9 Co 0.1265 0.2500 0.4808  1 U 2.26
10 Co 0.3735 0.7500 0.9808  1 U 2.26
11 Co 0.6265 0.2500 0.0192  1 U 2.26
12 Co 0.8735 0.7500 0.5192  1 U 2.26

=====

# 7
The following is a GGA-PBE calculation of a geometry-optimized SmUCo4 structure, from the Alexandria database.

Volume (A^3/atom): 15.73
ρ (g cm⁻³): 10.98
Energy relative to the lowest polymorph listed for this composition (meV/atom): 4
ΔH_f (0 K) (eV/atom): -0.075
Space group: C2/m (12)

Cell lengths 5.7266, 5.7266, 6.8404 Å; angles 107.97, 107.97, 64.65 degrees
Closest atoms and distances in Å follow each position.
Atoms (fractional coordinates):
1 Sm 0.1980 0.1980 0.2995  7 Co 2.79-3.07
2 Sm 0.8020 0.8020 0.7005  7 Co 2.79-3.07
3 U 0.4681 0.4681 0.7426  3 Co 2.21-2.26
4 U 0.5319 0.5319 0.2574  3 Co 2.21-2.26
5 Co 0.1186 0.6737 0.0821  1 U 2.21, 1 Co 2.42
6 Co 0.2007 0.7993 0.5000  5 Co 2.46-2.66, 2 U 2.57
7 Co 0.2383 0.2383 0.7546  1 U 2.26, 2 Co 2.42
8 Co 0.3263 0.8814 0.9179  1 U 2.21, 1 Co 2.42
9 Co 0.6737 0.1186 0.0821  1 U 2.21, 1 Co 2.42
10 Co 0.7617 0.7617 0.2454  1 U 2.26, 2 Co 2.42
11 Co 0.7993 0.2007 0.5000  5 Co 2.46-2.66, 2 U 2.57
12 Co 0.8814 0.3263 0.9179  1 U 2.21, 1 Co 2.42

=====

# 8
The following is a GGA-PBE calculation of a geometry-optimized SmUCo4 structure, from the Alexandria database.

Volume (A^3/atom): 14.72
ρ (g cm⁻³): 11.74
Energy relative to the lowest polymorph listed for this composition (meV/atom): 0
ΔH_f (0 K) (eV/atom): -0.079
Space group: F-43m (216)

Cell lengths 4.9982, 4.9982, 4.9982 Å; angles 60.00, 60.00, 60.00 degrees
Closest atoms and distances in Å follow each position.
Atoms (fractional coordinates):
1 Sm 0.0000 0.0000 0.0000  12 Co 2.93, 4 U 3.06
2 U 0.2500 0.2500 0.2500  12 Co 2.93, 4 Sm 3.06
3 Co 0.1273 0.6242 0.6242  6 Co 2.48-2.51
4 Co 0.6242 0.1273 0.6242  6 Co 2.48-2.51
5 Co 0.6242 0.6242 0.1273  6 Co 2.48-2.51
6 Co 0.6242 0.6242 0.6242  6 Co 2.48-2.51

=====

# 9
The following is a GGA-PBE calculation of a geometry-optimized SmUCo3 structure, from the Alexandria database.

Volume (A^3/atom): 17.75
ρ (g cm⁻³): 10.58
ΔH_f (0 K) (eV/atom): 0.046
Space group: P6_3/mmc (194)

Cell lengths 5.8881, 5.8881, 5.9110 Å; angles 90.00, 90.00, 120.00 degrees
Closest atoms and distances in Å follow each position.
Atoms (fractional coordinates):
1 Sm 0.3333 0.6667 0.2500  12 Co 2.96-3.27
2 Sm 0.6667 0.3333 0.7500  12 Co 2.96-3.27
3 U 0.0000 0.0000 0.0000  6 Co 2.49
4 U 0.0000 0.0000 0.5000  6 Co 2.49
5 Co 0.1962 0.3925 0.7500  2 Co 2.42, 2 U 2.49
6 Co 0.1962 0.8038 0.7500  2 Co 2.42, 2 U 2.49
7 Co 0.3925 0.1962 0.2500  2 Co 2.42, 2 U 2.49
8 Co 0.6075 0.8038 0.7500  2 Co 2.42, 2 U 2.49
9 Co 0.8038 0.1962 0.2500  2 Co 2.42, 2 U 2.49
10 Co 0.8038 0.6075 0.2500  2 Co 2.42, 2 U 2.49

=====

# 10
The following is a GGA-PBE calculation of a geometry-optimized SmVCo2 structure, from the Alexandria database.

Volume (A^3/atom): 15.37
ρ (g cm⁻³): 8.62
Energy relative to the lowest polymorph listed for this composition (meV/atom): 56
ΔH_f (0 K) (eV/atom): 0.002
Space group: P4/mmm (123)

Cell lengths 2.9721, 2.9721, 6.9605 Å; angles 90.00, 90.00, 90.00 degrees
Closest atoms and distances in Å follow each position.
Atoms (fractional coordinates):
1 Sm 0.0000 0.0000 0.0000  4 Sm 2.97, 8 Co 3.04
2 V 0.0000 0.0000 0.5000  8 Co 2.46
3 Co 0.5000 0.5000 0.3160  4 V 2.46, 1 Co 2.56
4 Co 0.5000 0.5000 0.6840  4 V 2.46, 1 Co 2.56

=====

# 11
The following is a GGA-PBE calculation of a geometry-optimized SmVCo2 structure, from the Alexandria database.

Volume (A^3/atom): 17.27
ρ (g cm⁻³): 7.67
Energy relative to the lowest polymorph listed for this composition (meV/atom): 0
ΔH_f (0 K) (eV/atom): -0.054
Space group: R-3m (166)

Cell lengths 3.9784, 3.9784, 15.1146 Å; angles 90.00, 90.00, 120.00 degrees
Closest atoms and distances in Å follow each position.
Atoms (fractional coordinates):
1 Sm 0.0000 0.0000 0.0000  8 Co 3.04
2 Sm 0.3333 0.6667 0.6667  8 Co 3.04
3 Sm 0.6667 0.3333 0.3333  8 Co 3.04
4 V 0.0000 0.0000 0.5000  6 Co 2.36
5 V 0.3333 0.6667 0.1667  6 Co 2.36
6 V 0.6667 0.3333 0.8333  6 Co 2.36
7 Co 0.0000 0.0000 0.2011  3 V 2.36, 3 Co 2.52
8 Co 0.0000 0.0000 0.7989  3 V 2.36, 3 Co 2.52
9 Co 0.3333 0.6667 0.4656  3 V 2.36, 3 Co 2.52
10 Co 0.3333 0.6667 0.8678  3 V 2.36, 3 Co 2.52
11 Co 0.6667 0.3333 0.1322  3 V 2.36, 3 Co 2.52
12 Co 0.6667 0.3333 0.5344  3 V 2.36, 3 Co 2.52

=====

# 12
The following is a GGA-PBE calculation of a geometry-optimized Sm2V2Co15 structure, from the Alexandria database.

Volume (A^3/atom): 12.99
ρ (g cm⁻³): 8.66
ΔH_f (0 K) (eV/atom): -0.095
Space group: R-3m (166)

Cell lengths 6.3163, 6.3163, 6.3163 Å; angles 82.97, 82.97, 82.97 degrees
Closest atoms and distances in Å follow each position.
Atoms (fractional coordinates):
1 Sm 0.1521 0.1521 0.1521  18 Co 2.98-3.28, 1 V 3.08
2 Sm 0.8479 0.8479 0.8479  18 Co 2.98-3.28, 1 V 3.08
3 V 0.4043 0.4043 0.4043  1 V 2.34, 6 Co 2.57-2.59
4 V 0.5957 0.5957 0.5957  1 V 2.34, 6 Co 2.57-2.59
5 Co 0.0000 0.5000 0.5000  8 Co 2.39-2.40, 2 V 2.57
6 Co 0.1561 0.1561 0.6491  8 Co 2.40-2.57, 1 V 2.59
7 Co 0.1561 0.6491 0.1561  8 Co 2.40-2.57, 1 V 2.59
8 Co 0.2095 0.5000 0.7905  8 Co 2.39-2.57
9 Co 0.2095 0.7905 0.5000  8 Co 2.39-2.57
10 Co 0.3509 0.8439 0.8439  8 Co 2.40-2.57, 1 V 2.59
11 Co 0.5000 0.0000 0.5000  8 Co 2.39-2.40, 2 V 2.57
12 Co 0.5000 0.2095 0.7905  8 Co 2.39-2.57
13 Co 0.5000 0.5000 0.0000  8 Co 2.39-2.40, 2 V 2.57
14 Co 0.5000 0.7905 0.2095  8 Co 2.39-2.57
15 Co 0.6491 0.1561 0.1561  8 Co 2.40-2.57, 1 V 2.59
16 Co 0.7905 0.2095 0.5000  8 Co 2.39-2.57
17 Co 0.7905 0.5000 0.2095  8 Co 2.39-2.57
18 Co 0.8439 0.3509 0.8439  8 Co 2.40-2.57, 1 V 2.59
19 Co 0.8439 0.8439 0.3509  8 Co 2.40-2.57, 1 V 2.59

=====

- Which of these has the lowest ρ?
  number 2

=====

- The highest volume belongs to which entry?
  number 2

=====

- Look up the ρ of the eighth one.
  11.74 g cm⁻³

=====

- What is the volume in the ninth record?
  17.75 A^3/atom